# 1
First-principles (PBE-GGA) data for an optimized crystal structure of Ac2PrCu3Ge4, as listed in Alexandria via LeMat-Bulk.

a = 4.483 Å, b = 4.483 Å, c = 11.156 Å
α = 90.00°, β = 90.00°, γ = 90.00°
Element x y z (fractional)
Ac 0.000 0.500 0.777
Ac 0.500 0.000 0.223
Cu 0.000 0.000 0.500
Cu 0.500 0.000 0.892
Cu 0.000 0.500 0.108
Ge 0.500 0.500 0.000
Ge 0.500 0.000 0.667
Ge 0.000 0.000 0.000
Ge 0.000 0.500 0.333
Pr 0.500 0.500 0.500

Properties
ΔE_f	-0.49	eV per atom
M_tot	0.00	μB/f.u.
final energy	-48.68	eV per cell

=====

# 2
First-principles (PBE-GGA) data for an optimized crystal structure of AcPrCu2Ge2, as listed in Alexandria via LeMat-Bulk.

a = 4.371 Å, b = 4.371 Å, c = 8.242 Å
α = 90.00°, β = 90.00°, γ = 120.00°
Element x y z (fractional)
Cu 0.667 0.333 0.269
Cu 0.333 0.667 0.731
Pr 0.000 0.000 0.500
Ge 0.333 0.667 0.264
Ge 0.667 0.333 0.736
Ac 0.000 0.000 0.000

Properties
ΔE_f	-0.62	eV per atom
M_tot	0.00	μB/f.u.
final energy	-30.06	eV per cell

=====

# 3
First-principles (PBE-GGA) data for an optimized crystal structure of AcPr2Cu2Ge2, as listed in Alexandria via LeMat-Bulk.

a = 4.397 Å, b = 4.397 Å, c = 10.600 Å
α = 78.03°, β = 78.03°, γ = 60.00°
Element x y z (fractional)
Cu 0.594 0.594 0.217
Cu 0.406 0.406 0.783
Pr 0.128 0.128 0.617
Pr 0.872 0.872 0.383
Ac 0.000 0.000 0.000
Ge 0.261 0.261 0.216
Ge 0.739 0.739 0.784

Properties
ΔE_f	-0.47	eV per atom
M_tot	0.00	μB/f.u.
final energy	-34.36	eV per cell

=====

# 4
First-principles (PBE-GGA) data for an optimized crystal structure of Ac2CuGe4Pt3, as listed in Alexandria via LeMat-Bulk.

a = 4.472 Å, b = 4.472 Å, c = 10.237 Å
α = 90.00°, β = 90.00°, γ = 90.00°
Element x y z (fractional)
Ge 0.000 0.000 0.000
Ge 0.000 0.500 0.374
Ge 0.500 0.000 0.626
Ge 0.500 0.500 0.000
Ac 0.000 0.500 0.746
Ac 0.500 0.000 0.254
Pt 0.500 0.000 0.876
Pt 0.000 0.000 0.500
Pt 0.000 0.500 0.124
Cu 0.500 0.500 0.500

Properties
ΔE_f	-0.85	eV per atom
M_tot	0.00	μB/f.u.
final energy	-57.37	eV per cell

=====

Question: Which of these has the lowest ΔE_f?
Answer: Ac2CuGe4Pt3